# CrTcN2F, single point on PBEsol structure, DFT meta-GGA SCAN
data_CrTcN2F
_chemical_formula_sum 'Cr1 Tc1 N2 F1'
_space_group_name_H-M_alt 'P 1'
_space_group_IT_number 1
_space_group_name_Hall 'P 1'
_cell_length_a 3.829
_cell_length_b 3.829
_cell_length_c 3.981
_cell_angle_alpha 90.00
_cell_angle_beta 90.00
_cell_angle_gamma 90.00
loop_
_atom_site_label
_atom_site_type_symbol
_atom_site_fract_x
_atom_site_fract_y
_atom_site_fract_z
_atom_site_occupancy
N1 N 0.000 0.500 0.000 1
N2 N 0.500 0.000 0.000 1
F1 F 0.000 0.000 0.500 1
Cr1 Cr 0.500 0.500 0.500 1
Tc1 Tc 0.000 0.000 0.000 1
# Total DFT energy (no corrections) = -15.250 eV per atom
# Crystal system = tetragonal
# Formation energy (no corrections) = -0.1370 eV/atom
# Magnetization = 0.84 μB per atom